No. 1
Below is a geometry-optimized Cd2RhPb structure, with properties calculated at the PBE level.

As for the density of states at the Fermi level: 1.773 states/eV per cell. The size of the total moment comes out at 0.0 μB per cell. The calculation puts the volume at 89 Å³/f.u. For the total energy, the calculation gives -3.132 eV/atom. The value obtained for the energy of formation is 0.09 eV per atom.

Lattice parameters (Å, degrees): 10.041 10.041 10.041 18.47 18.47 18.47
Fractional coordinates of all 4 atoms:
Cd: 0.736 0.736 0.736
Pb: 0.500 0.500 0.500
Cd: 0.264 0.264 0.264
Rh: 0.000 0.000 0.000

No. 2
Below is a geometry-optimized Cd2RhPb2 structure, with properties calculated at the PBE level.

As for the density of states at the Fermi level: 6.161 states/eV per cell. The size of the total moment comes out at 0.0 μB per cell. The calculation puts the volume at 128 Å³/f.u. For the total energy, the calculation gives -3.079 eV/atom. The value obtained for the relative energy among the computed polymorphs is 306 meV per atom. The value obtained for the energy of formation is 0.24 eV per atom.

Lattice parameters (Å, degrees): 7.224 7.224 4.891 90.00 90.00 90.00
Fractional coordinates of all 10 atoms:
Cd: 0.345 0.155 0.500
Pb: 0.662 0.162 0.000
Cd: 0.155 0.655 0.500
Cd: 0.655 0.845 0.500
Rh: 0.500 0.500 0.000
Rh: 0.000 0.000 0.000
Pb: 0.838 0.662 0.000
Pb: 0.162 0.338 0.000
Cd: 0.845 0.345 0.500
Pb: 0.338 0.838 0.000

No. 3
Below is a geometry-optimized CdRhPb2 structure, with properties calculated at the PBE level.

As for the density of states at the Fermi level: 1.765 states/eV per cell. The size of the total moment comes out at 0.0 μB per cell. The calculation puts the volume at 93 Å³/f.u. For the total energy, the calculation gives -3.851 eV/atom. The value obtained for the energy of formation is 0.07 eV per atom.

Lattice parameters (Å, degrees): 5.704 5.704 4.605 90.00 90.00 141.45
Fractional coordinates of all 4 atoms:
Rh: 0.698 0.302 0.000
Pb: 0.975 0.025 0.000
Cd: 0.549 0.451 0.500
Pb: 0.271 0.729 0.500

No. 4
Below is a geometry-optimized Cd2RhPb structure, with properties calculated at the PBE level.

As for the density of states at the Fermi level: 2.639 states/eV per cell. The size of the total moment comes out at 0.0 μB per cell. The calculation puts the volume at 89 Å³/f.u. For the total energy, the calculation gives -3.237 eV/atom. The value obtained for the energy of formation is -0.01 eV per atom.

Lattice parameters (Å, degrees): 3.204 3.204 8.641 90.00 90.00 90.00
Fractional coordinates of all 4 atoms:
Cd: 0.000 0.000 0.692
Cd: 0.000 0.000 0.308
Rh: 0.500 0.500 0.500
Pb: 0.500 0.500 0.000